# 1
Computed, not measured: a relaxed RbSmScSe3 crystal at the PBE-GGA level of DFT.

Values from the calculation:
volume	409	Å³ per cell
ΔE_f (raw)	-1.575	eV/atom
symmetry	P2_1/m
theoretical density	4.20	g cm⁻³

```
data_RbSmScSe3
_cell_length_a 4.446
_cell_length_b 9.348
_cell_length_c 10.372
_cell_angle_alpha 108.44
_cell_angle_beta 90.00
_cell_angle_gamma 90.00
_symmetry_space_group_name_H-M 'P 1'
_symmetry_Int_Tables_number 1
_symmetry_space_group_name_Hall 'P 1'
loop_
_atom_site_label
_atom_site_type_symbol
_atom_site_fract_x
_atom_site_fract_y
_atom_site_fract_z
Rb1 Rb 0.250 0.208 0.223
Rb2 Rb 0.750 0.792 0.777
Sm1 Sm 0.250 0.663 0.134
Sm2 Sm 0.750 0.337 0.866
Sc1 Sc 0.250 0.089 0.608
Sc2 Sc 0.750 0.911 0.392
Se1 Se 0.750 0.882 0.137
Se2 Se 0.250 0.118 0.863
Se3 Se 0.250 0.798 0.450
Se4 Se 0.750 0.202 0.550
Se5 Se 0.750 0.466 0.157
Se6 Se 0.250 0.534 0.843
```

***

# 2
Computed, not measured: a relaxed CsDyTeS crystal at the PBE-GGA level of DFT.

Values from the calculation:
volume	138	Å³ per cell
ΔE_f (raw)	-1.555	eV/atom
symmetry	R3m
theoretical density	5.48	g cm⁻³

```
data_CsDyTeS
_cell_length_a 4.289
_cell_length_b 4.289
_cell_length_c 9.001
_cell_angle_alpha 90.02
_cell_angle_beta 103.77
_cell_angle_gamma 120.00
_symmetry_space_group_name_H-M 'P 1'
_symmetry_Int_Tables_number 1
_symmetry_space_group_name_Hall 'P 1'
loop_
_atom_site_label
_atom_site_type_symbol
_atom_site_fract_x
_atom_site_fract_y
_atom_site_fract_z
Cs1 Cs 0.976 0.387 0.378
Dy1 Dy 0.288 0.542 0.845
Te1 Te 0.097 0.946 0.058
S1 S 0.517 0.156 0.689
```

***

# 3
Computed, not measured: a relaxed CaFeMo2 crystal at the PBE-GGA level of DFT.

Values from the calculation:
volume	69	Å³ per cell
ΔE_f	798	meV per atom
relative energy among the computed polymorphs	0.279	eV/atom
symmetry	I4/mmm
theoretical density	6.93	g cm⁻³

```
data_CaFeMo2
_cell_length_a 5.447
_cell_length_b 5.447
_cell_length_c 5.447
_cell_angle_alpha 138.98
_cell_angle_beta 138.98
_cell_angle_gamma 59.41
_symmetry_space_group_name_H-M 'P 1'
_symmetry_Int_Tables_number 1
_symmetry_space_group_name_Hall 'P 1'
loop_
_atom_site_label
_atom_site_type_symbol
_atom_site_fract_x
_atom_site_fract_y
_atom_site_fract_z
Mo1 Mo 0.000 0.000 0.000
Mo2 Mo 0.500 0.500 0.000
Ca1 Ca 0.250 0.750 0.500
Fe1 Fe 0.750 0.250 0.500
```

***

Question: Which of these has the highest theoretical density?
Answer: CaFeMo2